(1)
# ErAl4Cu2Au

A relaxed structure of ErAl4Cu2Au (PBE, Alexandria).

Unit cell a=4.2245 b=4.2245 c=26.9949 alpha=90.00 beta=90.00 gamma=120.00
Space group R-3m (No. 166, hexagonal axes)
One atom of each set of equivalent atoms:
Er (0.0000, 0.0000, 0.0000) x3
Al (0.0000, 0.0000, 0.1199) x6
Al (0.0000, 0.0000, 0.4019) x6
Cu (0.0000, 0.0000, 0.2622) x6
Au (0.0000, 0.0000, 0.5000) x3

Its total energy is -100.847 eV/cell. The formation energy comes out at -0.33 eV/atom. The density of states at the Fermi level is 7.79 states/eV/cell.

***

(2)
# SiGePt

A relaxed structure of SiGePt (PBE, Alexandria).

Unit cell a=5.9515 b=5.9515 c=5.9515 alpha=90.00 beta=90.00 gamma=90.00
Space group F-43m (No. 216)
One atom of each set of equivalent atoms:
Si (0.0000, 0.0000, 0.0000) x4
Ge (0.0000, 0.0000, 0.5000) x4
Pt (0.2500, 0.2500, 0.2500) x4

The formation energy (no corrections) is -7.95 kcal/mol of atoms. Its total energy is -68.462 eV/cell. The density of states at the Fermi level is 6.14 states/eV/cell.